(1)
## PrErPuSc (PBE)

Data for PrErPuSc after structural relaxation.

* energy relative to the elements: 200 meV per atom
* space group: F-43m, No. 216

a b c (Å): 5.516 5.516 5.516
angles (deg): 60.00 60.00 60.00
Fractional coordinates of all 4 atoms:
1 Pu 0.500 0.500 0.500
2 Sc 0.750 0.750 0.750
3 Pr 0.000 0.000 0.000
4 Er 0.250 0.250 0.250

(2)
## Pr4Er3PuSe8 (PBE)

Data for Pr4Er3PuSe8 after structural relaxation.

* formation energy without anion corrections: -170.1 kJ/mol of atoms
* space group: R-3m, No. 166

a b c (Å): 8.258 8.408 8.259
angles (deg): 119.42 120.00 90.00
Fractional coordinates of all 16 atoms:
1 Pr 0.000 0.000 0.000
2 Pr 0.000 0.000 0.500
3 Pr 0.500 0.000 0.000
4 Pr 0.500 0.000 0.500
5 Pu 0.000 0.500 0.000
6 Se 0.257 0.271 0.514
7 Se 0.246 0.733 0.493
8 Se 0.246 0.732 0.986
9 Se 0.740 0.732 0.986
10 Se 0.754 0.267 0.507
11 Se 0.260 0.268 0.014
12 Se 0.754 0.268 0.014
13 Se 0.743 0.729 0.486
14 Er 0.000 0.500 0.500
15 Er 0.500 0.500 0.000
16 Er 0.500 0.500 0.500

(3)
## Pr2ErPu3Se6 (PBE)

Data for Pr2ErPu3Se6 after structural relaxation.

* formation energy without anion corrections: -162.0 kJ/mol of atoms
* space group: C2/m, No. 12

a b c (Å): 4.153 8.368 9.334
angles (deg): 103.38 102.86 90.00
Fractional coordinates of all 12 atoms:
1 Se 0.336 0.410 0.672
2 Se 0.663 0.075 0.326
3 Se 0.997 0.241 0.994
4 Se 0.337 0.925 0.674
5 Se 0.003 0.759 0.006
6 Se 0.664 0.590 0.328
7 Pu 0.169 0.834 0.338
8 Pu 0.831 0.166 0.662
9 Pu 0.500 0.500 0.000
10 Pr 0.167 0.336 0.334
11 Pr 0.833 0.664 0.666
12 Er 0.500 0.000 0.000

(4)
## PrEr2PuSe4 (PBE)

Data for PrEr2PuSe4 after structural relaxation.

* formation energy without anion corrections: -165.4 kJ/mol of atoms
* space group: P2/m, No. 10

a b c (Å): 4.087 7.125 7.193
angles (deg): 108.96 90.00 90.00
Fractional coordinates of all 8 atoms:
1 Se 0.500 0.260 0.266
2 Se 0.000 0.750 0.263
3 Se 0.000 0.250 0.737
4 Se 0.500 0.740 0.734
5 Er 0.500 0.000 0.500
6 Er 0.000 0.500 0.500
7 Pu 0.500 0.500 0.000
8 Pr 0.000 0.000 0.000

(5)
## Pr2Er3PuSe6 (PBE)

Data for Pr2Er3PuSe6 after structural relaxation.

* formation energy without anion corrections: -167.9 kJ/mol of atoms
* space group: C2/m, No. 12

a b c (Å): 4.079 8.373 9.287
angles (deg): 104.42 102.69 90.00
Fractional coordinates of all 12 atoms:
1 Se 0.338 0.404 0.676
2 Se 0.668 0.072 0.337
3 Se 0.662 0.596 0.324
4 Se 0.995 0.254 0.990
5 Se 0.005 0.746 0.010
6 Se 0.332 0.928 0.663
7 Er 0.500 0.500 0.000
8 Er 0.832 0.164 0.664
9 Er 0.168 0.836 0.336
10 Pr 0.166 0.333 0.333
11 Pr 0.834 0.667 0.667
12 Pu 0.500 0.000 0.000

(6)
## Pr2ErPuSe4 (PBE)

Data for Pr2ErPuSe4 after structural relaxation.

* formation energy without anion corrections: -168.5 kJ/mol of atoms
* space group: P2/m, No. 10

a b c (Å): 4.142 7.213 7.298
angles (deg): 108.95 90.00 90.00
Fractional coordinates of all 8 atoms:
1 Pr 0.500 0.000 0.500
2 Pr 0.000 0.500 0.500
3 Se 0.500 0.760 0.767
4 Se 0.000 0.251 0.764
5 Se 0.000 0.749 0.236
6 Se 0.500 0.240 0.233
7 Pu 0.500 0.500 0.000
8 Er 0.000 0.000 0.000

(7)
## PrEr3Pu2Se6 (PBE)

Data for PrEr3Pu2Se6 after structural relaxation.

* formation energy without anion corrections: -163.3 kJ/mol of atoms
* space group: C2/m, No. 12

a b c (Å): 7.088 7.088 7.183
angles (deg): 99.47 99.47 120.07
Fractional coordinates of all 12 atoms:
1 Er 0.164 0.836 0.500
2 Er 0.500 0.500 0.500
3 Er 0.836 0.164 0.500
4 Se 0.253 0.253 0.739
5 Se 0.747 0.747 0.261
6 Se 0.573 0.912 0.737
7 Se 0.088 0.427 0.263
8 Se 0.912 0.573 0.737
9 Se 0.427 0.088 0.263
10 Pu 0.667 0.333 0.000
11 Pu 0.333 0.667 0.000
12 Pr 0.000 0.000 0.000

(8)
## PrErPu2Se5 (PBE)

Data for PrErPu2Se5 after structural relaxation.

* formation energy without anion corrections: -115.4 kJ/mol of atoms
* space group: P4/mmm, No. 123

a b c (Å): 5.096 5.096 11.020
angles (deg): 90.00 90.00 90.00
Fractional coordinates of all 9 atoms:
1 Pr 0.000 0.000 0.000
2 Se 0.500 0.000 0.500
3 Se 0.500 0.500 0.000
4 Se 0.000 0.500 0.500
5 Se 0.000 0.000 0.749
6 Se 0.000 0.000 0.251
7 Pu 0.500 0.500 0.314
8 Pu 0.500 0.500 0.686
9 Er 0.000 0.000 0.500

What are the V values for these records? In order: 119, 409, 307, 198, 299, 206, 295, 286 Å³ per cell.